Density functional theory data (PBE) for ZnReSe2 after structural relaxation.

Cell and atoms, written as extended XYZ:
```
4
Lattice="-2.255 -1.812 -0.634 0.728 -1.712 2.305 -5.370 4.834 5.287" Properties=species:S:1:pos:R:3 pbc="T T T"
Re -4.777 1.850 4.786
Se -4.881 4.394 4.805
Se -2.380 -0.307 2.426
Zn -2.915 2.624 2.870
```

formation energy (no corrections)	155	meV per atom